[1]
# Li6In2Pt GGA-PBE relaxed
data_Li6In2Pt
_chemical_formula_sum 'Li12 In4 Pt2'
_cell_length_a 4.546
_cell_length_b 5.180
_cell_length_c 13.326
_cell_angle_alpha 90.00
_cell_angle_beta 90.00
_cell_angle_gamma 90.00
_space_group_name_H-M_alt 'I m m m'
_space_group_IT_number 71
_space_group_name_Hall '-I 2 2'
loop_
_atom_site_label
_atom_site_type_symbol
_atom_site_fract_x
_atom_site_fract_y
_atom_site_fract_z
Li1 Li 0.000 0.244 0.196
Li2 Li 0.000 0.247 0.000
In1 In 0.000 0.000 0.392
Pt1 Pt 0.000 0.500 0.500
# ΔE to the lowest computed polymorph, meV/atom: 50


[2]
# Li2InPt GGA-PBE relaxed
data_Li2InPt
_chemical_formula_sum 'Li4 In2 Pt2'
_cell_length_a 3.999
_cell_length_b 3.999
_cell_length_c 7.985
_cell_angle_alpha 90.00
_cell_angle_beta 90.00
_cell_angle_gamma 90.00
_space_group_name_H-M_alt 'I 4/m m m'
_space_group_IT_number 139
_space_group_name_Hall '-I 4 2'
loop_
_atom_site_label
_atom_site_type_symbol
_atom_site_fract_x
_atom_site_fract_y
_atom_site_fract_z
Li1 Li 0.000 0.500 0.250
In1 In 0.000 0.000 0.000
Pt1 Pt 0.000 0.000 0.500
# Calculated total energy, eV per atom: -3.658


Q: Number 2 is which compound?
A: Li2InPt